(1)
# Y3InCo, optimized geometry, DFT PBE-GGA
# Energy above the lowest structure with this stoichiometry, kJ/mol of formula units: 25
# Formation enthalpy at 0 K, eV/atom: -0.233
# Magnetization, μB per atom: 0.00
# DOS at the Fermi energy, states/eV/f.u.: 4.113
data_Y3InCo
_cell_length_a 14.5780
_cell_length_b 4.7650
_cell_length_c 9.2024
_cell_angle_alpha 90.00
_cell_angle_beta 125.45
_cell_angle_gamma 90.00
_space_group_name_H-M_alt 'C 1 2/m 1'
_space_group_IT_number 12
_space_group_name_Hall '-C 2y'
loop_
_atom_site_label
_atom_site_fract_x
_atom_site_fract_y
_atom_site_fract_z
Y1 0.0999 0.0000 0.4420
Y2 0.1352 0.5000 0.2162
Y3 0.1401 0.5000 0.7795
In1 0.0924 0.0000 0.9684
Co1 0.2289 0.5000 0.5915

(2)
# YInCo2, optimized geometry, DFT PBE-GGA
# Formation enthalpy at 0 K, eV/atom: -0.115
# Magnetization, μB per atom: 0.59
# DOS at the Fermi energy, states/eV/f.u.: 4.389
data_YInCo2
_cell_length_a 4.8073
_cell_length_b 4.0339
_cell_length_c 7.8388
_cell_angle_alpha 90.00
_cell_angle_beta 90.00
_cell_angle_gamma 90.00
_space_group_name_H-M_alt 'P m m a'
_space_group_IT_number 51
_space_group_name_Hall '-P 2a 2a'
loop_
_atom_site_label
_atom_site_fract_x
_atom_site_fract_y
_atom_site_fract_z
Y1 0.2500 0.0000 0.1657
In1 0.2500 0.5000 0.7573
Co1 0.0000 0.0000 0.5000
Co2 0.2500 0.5000 0.4176

(3)
# Y2InCo, optimized geometry, DFT PBE-GGA
# Formation enthalpy at 0 K, eV/atom: -0.085
# Magnetization, μB per atom: 0.19
# DOS at the Fermi energy, states/eV/f.u.: 4.202
data_Y2InCo
_cell_length_a 3.3453
_cell_length_b 3.3453
_cell_length_c 8.3991
_cell_angle_alpha 90.00
_cell_angle_beta 90.00
_cell_angle_gamma 90.00
_space_group_name_H-M_alt 'P 4 m m'
_space_group_IT_number 99
_space_group_name_Hall 'P 4 -2'
loop_
_atom_site_label
_atom_site_fract_x
_atom_site_fract_y
_atom_site_fract_z
Y1 0.0000 0.0000 0.0000
Y2 0.5000 0.5000 0.3580
In1 0.5000 0.5000 0.7307
Co1 0.0000 0.0000 0.5550

(4)
# Y2InCo2, optimized geometry, DFT PBE-GGA
# Formation enthalpy at 0 K, eV/atom: -0.095
# Magnetization, μB per atom: 0.51
# DOS at the Fermi energy, states/eV/f.u.: 4.417
data_Y2InCo2
_cell_length_a 3.4134
_cell_length_b 3.4134
_cell_length_c 18.3349
_cell_angle_alpha 90.00
_cell_angle_beta 90.00
_cell_angle_gamma 90.00
_space_group_name_H-M_alt 'I 4/m m m'
_space_group_IT_number 139
_space_group_name_Hall '-I 4 2'
loop_
_atom_site_label
_atom_site_fract_x
_atom_site_fract_y
_atom_site_fract_z
Y1 0.0000 0.0000 0.1239
In1 0.0000 0.0000 0.5000
Co1 0.0000 0.5000 0.2500

(5)
# Y4In3Co, optimized geometry, DFT PBE-GGA
# Formation enthalpy at 0 K, eV/atom: -0.408
# Magnetization, μB per atom: 0.08
# DOS at the Fermi energy, states/eV/f.u.: 5.058
data_Y4In3Co
_cell_length_a 3.5278
_cell_length_b 3.5278
_cell_length_c 15.9301
_cell_angle_alpha 90.00
_cell_angle_beta 90.00
_cell_angle_gamma 90.00
_space_group_name_H-M_alt 'P 4/m m m'
_space_group_IT_number 123
_space_group_name_Hall '-P 4 2'
loop_
_atom_site_label
_atom_site_fract_x
_atom_site_fract_y
_atom_site_fract_z
Y1 0.0000 0.0000 0.1013
Y2 0.0000 0.0000 0.3667
In1 0.5000 0.5000 0.2351
In2 0.5000 0.5000 0.5000
Co1 0.5000 0.5000 0.0000

(6)
# Y8InCo2, optimized geometry, DFT PBE-GGA
# Energy above the lowest structure with this stoichiometry, kJ/mol of formula units: 322
# Formation enthalpy at 0 K, eV/atom: 0.179
# Magnetization, μB per atom: 0.09
# DOS at the Fermi energy, states/eV/f.u.: 13.776
data_Y8InCo2
_cell_length_a 5.1191
_cell_length_b 5.1191
_cell_length_c 11.5359
_cell_angle_alpha 90.00
_cell_angle_beta 90.00
_cell_angle_gamma 90.00
_space_group_name_H-M_alt 'P 4/m m m'
_space_group_IT_number 123
_space_group_name_Hall '-P 4 2'
loop_
_atom_site_label
_atom_site_fract_x
_atom_site_fract_y
_atom_site_fract_z
Y1 0.0000 0.0000 0.1562
Y2 0.0000 0.5000 0.0000
Y3 0.0000 0.5000 0.3357
In1 0.5000 0.5000 0.5000
Co1 0.5000 0.5000 0.1908

(7)
# Y6InCo2, optimized geometry, DFT PBE-GGA
# Formation enthalpy at 0 K, eV/atom: -0.273
# Magnetization, μB per atom: 0.00
# DOS at the Fermi energy, states/eV/f.u.: 7.555
data_Y6InCo2
_cell_length_a 9.4829
_cell_length_b 9.6517
_cell_length_c 10.0390
_cell_angle_alpha 90.00
_cell_angle_beta 90.00
_cell_angle_gamma 90.00
_space_group_name_H-M_alt 'I m m m'
_space_group_IT_number 71
_space_group_name_Hall '-I 2 2'
loop_
_atom_site_label
_atom_site_fract_x
_atom_site_fract_y
_atom_site_fract_z
Y1 0.0000 0.2110 0.2304
Y2 0.1976 0.5000 0.1857
Y3 0.2118 0.3126 0.5000
In1 0.0000 0.0000 0.0000
In2 0.0000 0.0000 0.5000
Co1 0.0000 0.3813 0.0000
Co2 0.0000 0.5000 0.3894

(8)
# YZnInCo, optimized geometry, DFT PBE-GGA
# Formation enthalpy at 0 K, eV/atom: -0.153
# Magnetization, μB per atom: 0.29
# DOS at the Fermi energy, states/eV/f.u.: 2.754
data_YZnInCo
_cell_length_a 6.6773
_cell_length_b 6.6773
_cell_length_c 6.6773
_cell_angle_alpha 90.00
_cell_angle_beta 90.00
_cell_angle_gamma 90.00
_space_group_name_H-M_alt 'F -4 3 m'
_space_group_IT_number 216
_space_group_name_Hall 'F -4 2 3'
loop_
_atom_site_label
_atom_site_fract_x
_atom_site_fract_y
_atom_site_fract_z
Y1 0.0000 0.0000 0.0000
Zn1 0.2500 0.2500 0.7500
In1 0.0000 0.0000 0.5000
Co1 0.2500 0.2500 0.2500

Which of these has the lowest formation enthalpy at 0 K? Y4In3Co

Which of these has the highest DOS at the Fermi energy? Y8InCo2

Which of these has the highest formation enthalpy at 0 K? Y8InCo2